No. 1
Computed, not measured: a geometry-optimized ZnCr3Ru structure at the PBEsol level of DFT.

Values from the calculation:
- Symmetry: Pm-3m
- ΔE_f: 1475 meV per atom

abc: 4.5485 4.5485 4.5485
angles: 90.00 90.00 90.00
Last column: magnetic moment on the atom in μB.
Positions (direct):
Zn 0.5000 0.5000 0.5000  -0.04
Ru 0.0000 0.0000 0.0000  -0.43
Cr 0.0000 0.0000 0.5000  2.87
Cr 0.0000 0.5000 0.0000  2.87
Cr 0.5000 0.0000 0.0000  2.87

No. 2
Computed, not measured: a geometry-optimized SrMgSb2Mo structure at the PBEsol level of DFT.

Values from the calculation:
- Symmetry: P4/mmm
- Formation energy from raw total energies: 345 meV per atom

abc: 5.1974 5.1974 5.6572
angles: 90.00 90.00 90.00
Positions (direct):
Sb 0.5000 0.0000 0.0000
Sb 0.0000 0.5000 0.0000
Mo 0.0000 0.0000 0.0000
Mg 0.5000 0.5000 0.5000
Sr 0.0000 0.0000 0.5000

No. 3
Computed, not measured: a geometry-optimized ScMnRu2 structure at the PBEsol level of DFT.

Values from the calculation:
- Symmetry: P4mm
- ΔE_f: 118 meV per atom

abc: 2.7879 2.7879 7.4856
angles: 90.00 90.00 90.00
Last column: magnetic moment on the atom in μB.
Positions (direct):
Ru 0.0000 0.0000 0.9979  0.00
Ru 0.5000 0.5000 0.2228  0.25
Sc 0.0000 0.0000 0.5054  -0.23
Mn 0.5000 0.5000 0.7739  2.44

No. 4
Computed, not measured: a geometry-optimized LiCe2Ru structure at the PBEsol level of DFT.

Values from the calculation:
- Symmetry: Fm-3m
- ΔE_f: 17 meV per atom

abc: 4.8709 4.8709 4.8709
angles: 60.00 60.00 60.00
Positions (direct):
Ru 0.0000 0.0000 0.0000
Ce 0.2500 0.2500 0.2500
Ce 0.7500 0.7500 0.7500
Li 0.5000 0.5000 0.5000

No. 5
Computed, not measured: a geometry-optimized IrRu3 structure at the PBEsol level of DFT.

Values from the calculation:
- Symmetry: P6_3/mmc
- ΔE_f: 6 meV per atom

abc: 5.3692 5.3692 8.6541
angles: 90.00 90.00 120.00
Positions (direct):
Ru 0.1677 0.3355 0.7500
Ru 0.5000 0.5000 0.0000
Ru 0.0000 0.5000 0.0000
Ru 0.8323 0.1677 0.2500
Ru 0.5000 0.0000 0.5000
Ru 0.6645 0.8323 0.7500
Ru 0.1677 0.8323 0.7500
Ru 0.0000 0.5000 0.5000
Ru 0.3355 0.1677 0.2500
Ru 0.8323 0.6645 0.2500
Ru 0.5000 0.5000 0.5000
Ru 0.5000 0.0000 0.0000
Ir 0.0000 0.0000 0.5000
Ir 0.6667 0.3333 0.7500
Ir 0.0000 0.0000 0.0000
Ir 0.3333 0.6667 0.2500

No. 6
Computed, not measured: a geometry-optimized Cd3GeCl structure at the PBEsol level of DFT.

Values from the calculation:
- Symmetry: Pm-3m
- E above lowest polymorph: 59.08 kJ/mol of atoms
- Formation energy from raw total energies: 631 meV per atom

abc: 5.1633 5.1633 5.1633
angles: 90.00 90.00 90.00
Positions (direct):
Cd 0.0000 0.0000 0.5000
Cd 0.5000 0.0000 0.0000
Cd 0.0000 0.5000 0.0000
Ge 0.5000 0.5000 0.5000
Cl 0.0000 0.0000 0.0000

- What is the formula in the third record?
  ScMnRu2